No. 1
A relaxed structure of Pr2SmTm8, computed with PBE.

abc: 8.8699 8.8699 6.6409
angles: 99.27 99.27 43.49
Closest atoms and distances in Å follow each position.
Positions (direct):
Pr  0.2451  0.2451  0.3091  9 Tm 3.28-3.51
Pr  0.7549  0.7549  0.6909  9 Tm 3.28-3.51
Sm  0.0000  0.0000  0.0000  4 Tm 3.29
Tm  0.1749  0.6522  0.5970  4 Tm 3.14-3.44, 2 Pr 3.28-3.46, 1 Sm 3.29
Tm  0.2012  0.2012  0.8011  4 Pr 3.32-3.51, 3 Tm 3.43-3.67
Tm  0.3478  0.8251  0.4030  4 Tm 3.14-3.44, 2 Pr 3.28-3.46, 1 Sm 3.29
Tm  0.4119  0.4119  0.0943  1 Pr 3.31, 8 Tm 3.36-3.68, 2 Sm 3.69
Tm  0.5881  0.5881  0.9057  1 Pr 3.31, 8 Tm 3.36-3.68, 2 Sm 3.69
Tm  0.6522  0.1749  0.5970  4 Tm 3.14-3.44, 2 Pr 3.28-3.46, 1 Sm 3.29
Tm  0.7988  0.7988  0.1989  4 Pr 3.32-3.51, 3 Tm 3.43-3.67
Tm  0.8251  0.3478  0.4030  4 Tm 3.14-3.44, 2 Pr 3.28-3.46, 1 Sm 3.29

Output
N(E_F) (states/eV/cell): 16.4
VASP energy (eV/f.u.): -48.095
Excess energy over the best structure of this formula in the dataset (meV per atom): 149
Total magnetic moment (μB/cell): 0.00
Energy relative to the elements (eV/atom): 0.178



No. 2
A relaxed structure of NaIn4Pt2, computed with PBE.

abc: 18.3169 4.5287 7.4616
angles: 90.00 90.00 90.00
Closest atoms and distances in Å follow each position.
Positions (direct):
Na  0.1450  0.2500  0.0322  9 In 3.18-3.49, 4 Pt 3.40-3.42
Na  0.3550  0.7500  0.5322  9 In 3.18-3.49, 4 Pt 3.40-3.42
Na  0.6450  0.2500  0.4678  9 In 3.18-3.49, 4 Pt 3.40-3.42
Na  0.8550  0.7500  0.9678  9 In 3.18-3.49, 4 Pt 3.40-3.42
In  0.0354  0.7500  0.8732  3 Pt 2.79-2.83, 1 In 2.98
In  0.0676  0.2500  0.4821  4 Pt 2.75-2.89
In  0.1861  0.7500  0.3145  4 Pt 2.76-2.82
In  0.1884  0.7500  0.7370  3 Pt 2.78-2.80, 1 In 2.98
In  0.3116  0.2500  0.2370  3 Pt 2.78-2.80, 1 In 2.98
In  0.3139  0.2500  0.8145  4 Pt 2.76-2.82
In  0.4324  0.7500  0.9821  4 Pt 2.75-2.89
In  0.4646  0.2500  0.3732  3 Pt 2.79-2.83, 1 In 2.98
In  0.5354  0.7500  0.6268  3 Pt 2.79-2.83, 1 In 2.98
In  0.5676  0.2500  0.0179  4 Pt 2.75-2.89
In  0.6861  0.7500  0.1855  4 Pt 2.76-2.82
In  0.6884  0.7500  0.7630  3 Pt 2.78-2.80, 1 In 2.98
In  0.8116  0.2500  0.2630  3 Pt 2.78-2.80, 1 In 2.98
In  0.8139  0.2500  0.6855  4 Pt 2.76-2.82
In  0.9324  0.7500  0.5179  4 Pt 2.75-2.89
In  0.9646  0.2500  0.1268  3 Pt 2.79-2.83, 1 In 2.98
Pt  0.0376  0.7500  0.2521  7 In 2.76-2.89
Pt  0.2166  0.2500  0.5280  7 In 2.75-2.82
Pt  0.2834  0.7500  0.0280  7 In 2.75-2.82
Pt  0.4624  0.2500  0.7521  7 In 2.76-2.89
Pt  0.5376  0.7500  0.2479  7 In 2.76-2.89
Pt  0.7166  0.2500  0.9720  7 In 2.75-2.82
Pt  0.7834  0.7500  0.4720  7 In 2.75-2.82
Pt  0.9624  0.2500  0.7479  7 In 2.76-2.89

Output
N(E_F) (states/eV/cell): 12.0
VASP energy (eV/f.u.): -27.275
Excess energy over the best structure of this formula in the dataset (meV per atom): 0
Total magnetic moment (μB/cell): 0.00
Energy relative to the elements (eV/atom): -0.417



No. 3
A relaxed structure of NpRuSe2, computed with PBE.

abc: 3.1142 3.1142 27.9204
angles: 90.00 90.00 120.00
Closest atoms and distances in Å follow each position.
Positions (direct):
Np  0.0000  0.0000  0.0000  6 Se 2.91, 6 Np 3.11
Np  0.3333  0.6667  0.6667  6 Se 2.91, 6 Np 3.11
Np  0.6667  0.3333  0.3333  6 Se 2.91, 6 Np 3.11
Ru  0.0000  0.0000  0.5000  2 Se 2.36
Ru  0.3333  0.6667  0.1667  2 Se 2.36
Ru  0.6667  0.3333  0.8333  2 Se 2.36
Se  0.0000  0.0000  0.4154  1 Ru 2.36
Se  0.0000  0.0000  0.5846  1 Ru 2.36
Se  0.3333  0.6667  0.0821  1 Ru 2.36
Se  0.3333  0.6667  0.2513  1 Ru 2.36
Se  0.6667  0.3333  0.7487  1 Ru 2.36
Se  0.6667  0.3333  0.9179  1 Ru 2.36

Output
Formation energy from raw total energies (eV/atom): 0.13
N(E_F) (states/eV/cell): 19.6
VASP energy (eV/f.u.): -28.684
Total magnetic moment (μB/cell): 10.54